1.
DFT (PBE-GGA) results for an optimized crystal structure of SrTlTe2.

- Space group: Amm2, No. 38
- Total energy: -13.9 eV per formula unit
- Formation energy without anion corrections: -20.3 kcal/mol of atoms

CIF file:
```
data_SrTlTe2
_chemical_formula_sum 'Sr1 Tl1 Te2'
_symmetry_space_group_name_H-M 'P 1'
_symmetry_Int_Tables_number 1
_cell_length_a 7.319
_cell_length_b 7.319
_cell_length_c 4.695
_cell_angle_alpha 89.97
_cell_angle_beta 89.97
_cell_angle_gamma 34.91
loop_
_symmetry_equiv_pos_as_xyz
'x,y,z'
loop_
_atom_site_label
_atom_site_type_symbol
_atom_site_fract_x
_atom_site_fract_y
_atom_site_fract_z
Sr1 Sr 0.719 0.719 0.875
Te1 Te 0.022 0.022 0.875
Te2 Te 0.273 0.273 0.375
Tl1 Tl 0.485 0.485 0.375
```

---

2.
DFT (PBE-GGA) results for an optimized crystal structure of CaSBr2.

- Space group: I-42d, No. 122
- Total energy: -12.4 eV per formula unit
- Formation energy without anion corrections: -16.9 kcal/mol of atoms

CIF file:
```
data_CaSBr2
_chemical_formula_sum 'Ca2 S2 Br4'
_symmetry_space_group_name_H-M 'P 1'
_symmetry_Int_Tables_number 1
_cell_length_a 4.857
_cell_length_b 4.857
_cell_length_c 10.150
_cell_angle_alpha 76.16
_cell_angle_beta 76.16
_cell_angle_gamma 90.00
loop_
_symmetry_equiv_pos_as_xyz
'x,y,z'
loop_
_atom_site_label
_atom_site_type_symbol
_atom_site_fract_x
_atom_site_fract_y
_atom_site_fract_z
Ca1 Ca 0.000 0.000 0.000
Ca2 Ca 0.750 0.250 0.500
S1 S 0.500 0.500 0.000
S2 S 0.250 0.750 0.500
Br1 Br 0.619 0.125 0.250
Br2 Br 0.131 0.625 0.250
Br3 Br 0.375 0.381 0.750
Br4 Br 0.875 0.869 0.750
```

---

3.
DFT (PBE-GGA) results for an optimized crystal structure of Pm2PrNd.

- Space group: Amm2, No. 38
- Total energy: -18.9 eV per formula unit
- Formation energy: 0.166 eV per formula unit

CIF file:
```
data_Pm2PrNd
_chemical_formula_sum 'Pm2 Pr1 Nd1'
_symmetry_space_group_name_H-M 'P 1'
_symmetry_Int_Tables_number 1
_cell_length_a 3.595
_cell_length_b 5.736
_cell_length_c 7.044
_cell_angle_alpha 90.00
_cell_angle_beta 104.78
_cell_angle_gamma 90.00
loop_
_symmetry_equiv_pos_as_xyz
'x,y,z'
loop_
_atom_site_label
_atom_site_type_symbol
_atom_site_fract_x
_atom_site_fract_y
_atom_site_fract_z
Pm1 Pm 0.062 0.500 0.124
Pm2 Pm 0.187 0.000 0.374
Pr1 Pr 0.804 0.500 0.607
Nd1 Nd 0.447 0.000 0.894
```

---

4.
DFT (PBE-GGA) results for an optimized crystal structure of Sc3Tl.

- Space group: Pm-3n, No. 223
- Total energy: -22.0 eV per formula unit
- Formation energy: -0.659 eV per formula unit

CIF file:
```
data_Sc3Tl
_chemical_formula_sum 'Sc6 Tl2'
_symmetry_space_group_name_H-M 'P 1'
_symmetry_Int_Tables_number 1
_cell_length_a 5.703
_cell_length_b 5.703
_cell_length_c 5.703
_cell_angle_alpha 90.00
_cell_angle_beta 90.00
_cell_angle_gamma 90.00
loop_
_symmetry_equiv_pos_as_xyz
'x,y,z'
loop_
_atom_site_label
_atom_site_type_symbol
_atom_site_fract_x
_atom_site_fract_y
_atom_site_fract_z
Sc1 Sc 0.750 0.500 0.000
Sc2 Sc 0.250 0.500 0.000
Sc3 Sc 0.000 0.750 0.500
Sc4 Sc 0.000 0.250 0.500
Sc5 Sc 0.500 0.000 0.250
Sc6 Sc 0.500 0.000 0.750
Tl1 Tl 0.000 0.000 0.000
Tl2 Tl 0.500 0.500 0.500
```

---

5.
DFT (PBE-GGA) results for an optimized crystal structure of Li3Cd10Au3.

- Space group: P-62m, No. 189
- Total energy: -27.6 eV per formula unit
- Formation energy: -2.834 eV per formula unit

CIF file:
```
data_Li3Cd10Au3
_chemical_formula_sum 'Li3 Cd10 Au3'
_symmetry_space_group_name_H-M 'P 1'
_symmetry_Int_Tables_number 1
_cell_length_a 5.579
_cell_length_b 8.203
_cell_length_c 8.203
_cell_angle_alpha 120.00
_cell_angle_beta 90.00
_cell_angle_gamma 90.00
loop_
_symmetry_equiv_pos_as_xyz
'x,y,z'
loop_
_atom_site_label
_atom_site_type_symbol
_atom_site_fract_x
_atom_site_fract_y
_atom_site_fract_z
Li1 Li 0.000 0.000 0.582
Li2 Li 0.000 0.582 0.000
Li3 Li 0.000 0.418 0.418
Cd1 Cd 0.246 0.667 0.333
Cd2 Cd 0.246 0.333 0.667
Cd3 Cd 0.754 0.333 0.667
Cd4 Cd 0.754 0.667 0.333
Cd5 Cd 0.500 0.000 0.761
Cd6 Cd 0.500 0.761 0.000
Cd7 Cd 0.500 0.239 0.239
Cd8 Cd 0.000 0.000 0.219
Cd9 Cd 0.000 0.219 0.000
Cd10 Cd 0.000 0.781 0.781
Au1 Au 0.500 0.000 0.398
Au2 Au 0.500 0.398 0.000
Au3 Au 0.500 0.602 0.602
```

---

6.
DFT (PBE-GGA) results for an optimized crystal structure of Cs3WBr8.

- Space group: P6_3mc, No. 186
- Total energy: -42.2 eV per formula unit
- Formation energy without anion corrections: -25.5 kcal/mol of atoms

CIF file:
```
data_Cs3WBr8
_chemical_formula_sum 'Cs6 W2 Br16'
_symmetry_space_group_name_H-M 'P 1'
_symmetry_Int_Tables_number 1
_cell_length_a 9.899
_cell_length_b 10.751
_cell_length_c 10.751
_cell_angle_alpha 120.00
_cell_angle_beta 90.00
_cell_angle_gamma 90.00
loop_
_symmetry_equiv_pos_as_xyz
'x,y,z'
loop_
_atom_site_label
_atom_site_type_symbol
_atom_site_fract_x
_atom_site_fract_y
_atom_site_fract_z
Cs1 Cs 0.701 0.695 0.847
Cs2 Cs 0.701 0.153 0.305
Cs3 Cs 0.701 0.153 0.847
Cs4 Cs 0.201 0.305 0.153
Cs5 Cs 0.201 0.847 0.695
Cs6 Cs 0.201 0.847 0.153
W1 W 0.150 0.333 0.667
W2 W 0.650 0.667 0.333
Br1 Br 0.006 0.112 0.556
Br2 Br 0.006 0.444 0.888
Br3 Br 0.006 0.444 0.556
Br4 Br 0.506 0.888 0.444
Br5 Br 0.506 0.556 0.112
Br6 Br 0.506 0.556 0.444
Br7 Br 0.801 0.447 0.224
Br8 Br 0.801 0.776 0.553
Br9 Br 0.801 0.776 0.224
Br10 Br 0.301 0.553 0.776
Br11 Br 0.301 0.224 0.447
Br12 Br 0.301 0.224 0.776
Br13 Br 0.644 0.333 0.667
Br14 Br 0.144 0.667 0.333
Br15 Br 0.956 0.000 0.000
Br16 Br 0.456 0.000 0.000
```

---

> Which value of total energy does entry 4 give?

-22.0 eV per formula unit

---

> Among the records above, which one has the highest total energy?

CaSBr2

---

> total energy of number 6 (Cs3WBr8)?

-42.2 eV per formula unit

---

> Which of these has the lowest total energy?

Cs3WBr8